GdCrP2: relaxed, GGA-PBE.

Structure (CIF):
```
data_GdCrP2
_chemical_formula_sum 'Gd3 Cr3 P6'
_cell_length_a 3.8091
_cell_length_b 3.8091
_cell_length_c 17.3136
_cell_angle_alpha 90.00
_cell_angle_beta 90.00
_cell_angle_gamma 120.00
_symmetry_space_group_name_H-M 'R -3 m'
_symmetry_Int_Tables_number 166
_symmetry_space_group_name_Hall '-R 3 2"'
loop_
_atom_site_label
_atom_site_type_symbol
_atom_site_fract_x
_atom_site_fract_y
_atom_site_fract_z
Gd1 Gd 0.0000 0.0000 0.0000
Cr1 Cr 0.0000 0.0000 0.5000
P1 P 0.0000 0.0000 0.2332
```

Summary:
The value obtained for the energy relative to the elements is -0.92 eV/atom. The value obtained for the magnetic moment is 12.497 Bohr magnetons per cell. The mass density comes out at 6.21 Mg/m³.